PBE-GGA Hf2GeBi, optimized geometry; electronic total energy = -7.45 eV/atom; energy above the lowest structure with this stoichiometry = 0.000 eV per formula unit; space group = R3m, No. 160
1.0
3.9392 0.0000 0.0000
1.9696 3.4115 0.0000
1.9696 1.1372 6.8894
Hf Ge Bi
2 1 1
direct
0.0690 0.0690 0.7929
0.2632 0.2632 0.2104
0.6685 0.6685 0.9944
0.4992 0.4992 0.5023